LaCrRh2: relaxed, PBE.

* calculated total energy: -7.14 eV per atom
* M_tot: 0.05 Bohr magnetons per cell
* excess energy over the best structure of this formula in the dataset: 323.3 meV per atom
* energy of formation from the pure elements: 175.8 meV per atom
* symmetry: Fm-3m, No. 225

```
LaCrRh2
1.0
0.0000 3.2907 3.2907
3.2907 0.0000 3.2907
3.2907 3.2907 0.0000
Cr Rh La
1 2 1
Direct
0.0000 0.0000 0.0000 Cr
0.2500 0.2500 0.2500 Rh
0.7500 0.7500 0.7500 Rh
0.5000 0.5000 0.5000 La
```